# 1
Computed, not measured: a relaxed TbPa2Cu6 crystal at the PBE level of DFT.

a = 3.1720 Å, b = 7.5844 Å, c = 7.5843 Å
α = 120.00°, β = 90.00°, γ = 90.00°
Last column: nearest neighbours and their distance in Å.
Element x y z (fractional)
Cu  0.5000  0.6658  0.0000  3 Cu 2.51-2.54
Cu  0.5000  0.6658  0.6658  3 Cu 2.51-2.54
Cu  0.5000  0.3342  0.3342  3 Cu 2.51-2.54
Cu  0.5000  0.0000  0.3342  3 Cu 2.51-2.54
Cu  0.5000  0.3342  0.0000  3 Cu 2.51-2.54
Cu  0.5000  0.0000  0.6658  3 Cu 2.51-2.54
Pa  0.0000  0.6667  0.3333  12 Cu 2.98, 2 Pa 3.17
Pa  0.0000  0.3333  0.6667  12 Cu 2.98, 2 Pa 3.17
Tb  0.0000  0.0000  0.0000  12 Cu 2.99, 2 Tb 3.17

Properties
- Fermi-level density of states (states/eV per cell) = 7.13
- size of the total moment (μB/cell) = 0.4
- space-group type = P6/mmm, No. 191
- formation energy (eV/atom) = -0.11



# 2
Computed, not measured: a relaxed HfAgS crystal at the PBE level of DFT.

a = 3.4197 Å, b = 3.4197 Å, c = 11.8309 Å
α = 90.00°, β = 90.00°, γ = 120.00°
Last column: nearest neighbours and their distance in Å.
Element x y z (fractional)
Ag  0.6667  0.3333  0.2663  3 S 2.91, 3 Hf 2.93
Ag  0.6667  0.3333  0.6318  3 S 2.91, 3 Hf 2.93
S  0.3333  0.6667  0.0855  3 Hf 2.55
S  0.3333  0.6667  0.8126  3 Hf 2.55
Hf  0.3333  0.6667  0.4491  6 Ag 2.93
Hf  0.6667  0.3333  0.9491  6 S 2.55

Properties
- Fermi-level density of states (states/eV per cell) = 3.11
- size of the total moment (μB/cell) = 0.5
- space-group type = P-6m2, No. 187
- E_form (uncorrected) (eV per atom) = -0.550



# 3
Computed, not measured: a relaxed YZr2Be2 crystal at the PBE level of DFT.

a = 4.3875 Å, b = 4.3875 Å, c = 6.1586 Å
α = 69.13°, β = 69.13°, γ = 90.00°
Last column: nearest neighbours and their distance in Å.
Element x y z (fractional)
Zr  0.6464  0.6464  0.7071  4 Be 2.45
Zr  0.3536  0.3536  0.2929  4 Be 2.45
Y  0.0000  0.0000  0.0000  8 Be 3.45, 10 Zr 3.47-3.76
Be  0.2500  0.7500  0.5000  4 Zr 2.45
Be  0.7500  0.2500  0.5000  4 Zr 2.45

Properties
- Fermi-level density of states (states/eV per cell) = 3.20
- energy above the lowest structure with this stoichiometry (eV/atom) = 0.2384
- size of the total moment (μB/cell) = 0.7
- space-group type = I4/mmm, No. 139
- formation energy (eV/atom) = 0.32